The following is a DFT calculation (GGA-PBE) of a relaxed structure of UPa2B9.

Cell and atoms, written as CIF:
```
data_UPa2B9
_chemical_formula_sum 'U3 Pa6 B27'
_cell_length_a 4.3607
_cell_length_b 4.3607
_cell_length_c 27.2042
_cell_angle_alpha 90.00
_cell_angle_beta 90.00
_cell_angle_gamma 120.00
_space_group_name_H-M_alt 'R -3 m'
_space_group_IT_number 166
_space_group_name_Hall '-R 3 2"'
loop_
_atom_site_label
_atom_site_type_symbol
_atom_site_fract_x
_atom_site_fract_y
_atom_site_fract_z
U1 U 0.0000 0.0000 0.0000
Pa1 Pa 0.0000 0.0000 0.1193
B1 B 0.0000 0.0000 0.4076
B2 B 0.0000 0.0000 0.5000
B3 B 0.0868 0.5434 0.9398
```

- D(E_F): 27.236 states/eV per cell
- E_form: -109 meV/atom

---

The following is a DFT calculation (GGA-PBE) of a relaxed structure of UPa2B6.

Cell and atoms, written as CIF:
```
data_UPa2B6
_chemical_formula_sum 'U2 Pa4 B12'
_cell_length_a 3.1377
_cell_length_b 8.6160
_cell_length_c 8.6168
_cell_angle_alpha 90.00
_cell_angle_beta 90.00
_cell_angle_gamma 90.00
_space_group_name_H-M_alt 'I m m m'
_space_group_IT_number 71
_space_group_name_Hall '-I 2 2'
loop_
_atom_site_label
_atom_site_type_symbol
_atom_site_fract_x
_atom_site_fract_y
_atom_site_fract_z
U1 U 0.0000 0.0000 0.0000
Pa1 Pa 0.0000 0.1553 0.5000
B1 B 0.0000 0.3037 0.2474
B2 B 0.0000 0.5000 0.2149
```

- D(E_F): 20.459 states/eV per cell
- E_form: -78 meV/atom

---

The following is a DFT calculation (GGA-PBE) of a relaxed structure of UPa2B.

Cell and atoms, written as CIF:
```
data_UPa2B
_chemical_formula_sum 'U3 Pa6 B3'
_cell_length_a 3.2363
_cell_length_b 3.2363
_cell_length_c 27.0427
_cell_angle_alpha 90.00
_cell_angle_beta 90.00
_cell_angle_gamma 120.00
_space_group_name_H-M_alt 'R -3 m'
_space_group_IT_number 166
_space_group_name_Hall '-R 3 2"'
loop_
_atom_site_label
_atom_site_type_symbol
_atom_site_fract_x
_atom_site_fract_y
_atom_site_fract_z
U1 U 0.0000 0.0000 0.0000
Pa1 Pa 0.0000 0.0000 0.1080
B1 B 0.0000 0.0000 0.5000
```

- D(E_F): 23.490 states/eV per cell
- E_form: 309 meV/atom

---

The following is a DFT calculation (GGA-PBE) of a relaxed structure of U2PaB6.

Cell and atoms, written as CIF:
```
data_U2PaB6
_chemical_formula_sum 'U4 Pa2 B12'
_cell_length_a 3.2225
_cell_length_b 8.1618
_cell_length_c 8.5360
_cell_angle_alpha 90.00
_cell_angle_beta 90.00
_cell_angle_gamma 90.00
_space_group_name_H-M_alt 'I m m m'
_space_group_IT_number 71
_space_group_name_Hall '-I 2 2'
loop_
_atom_site_label
_atom_site_type_symbol
_atom_site_fract_x
_atom_site_fract_y
_atom_site_fract_z
U1 U 0.0000 0.0000 0.1427
Pa1 Pa 0.0000 0.5000 0.0000
B1 B 0.0000 0.2501 0.3053
B2 B 0.0000 0.2982 0.5000
```

- D(E_F): 19.624 states/eV per cell
- E_form: -196 meV/atom

---

The following is a DFT calculation (GGA-PBE) of a relaxed structure of UPaB2.

Cell and atoms, written as CIF:
```
data_UPaB2
_chemical_formula_sum 'U3 Pa3 B6'
_cell_length_a 4.4874
_cell_length_b 4.4874
_cell_length_c 10.1565
_cell_angle_alpha 90.00
_cell_angle_beta 90.00
_cell_angle_gamma 120.00
_space_group_name_H-M_alt 'R -3 m'
_space_group_IT_number 166
_space_group_name_Hall '-R 3 2"'
loop_
_atom_site_label
_atom_site_type_symbol
_atom_site_fract_x
_atom_site_fract_y
_atom_site_fract_z
U1 U 0.0000 0.0000 0.0000
Pa1 Pa 0.0000 0.0000 0.5000
B1 B 0.0000 0.0000 0.2475
```

- D(E_F): 18.448 states/eV per cell
- E_form: 180 meV/atom

---

The following is a DFT calculation (GGA-PBE) of a relaxed structure of PaVB4.

Cell and atoms, written as CIF:
```
data_PaVB4
_chemical_formula_sum 'Pa4 V4 B16'
_cell_length_a 5.9500
_cell_length_b 11.5042
_cell_length_c 3.6060
_cell_angle_alpha 90.00
_cell_angle_beta 90.00
_cell_angle_gamma 90.00
_space_group_name_H-M_alt 'P b a m'
_space_group_IT_number 55
loop_
_space_group_symop_operation_xyz
'x,y,z'
'-x,-y,-z'
'-x,-y,z'
'x,y,-z'
'x+1/2,-y+1/2,-z'
'-x+1/2,y+1/2,z'
'-x+1/2,y+1/2,-z'
'x+1/2,-y+1/2,z'
loop_
_atom_site_label
_atom_site_type_symbol
_atom_site_fract_x
_atom_site_fract_y
_atom_site_fract_z
Pa1 Pa 0.1243 0.1511 0.0000
V1 V 0.1267 0.4166 0.0000
B1 B 0.0269 0.6917 0.5000
B2 B 0.1134 0.5461 0.5000
B3 B 0.1362 0.9674 0.5000
B4 B 0.2167 0.8148 0.5000
```

- D(E_F): 10.634 states/eV per cell
- E above lowest polymorph: 0.0 meV per atom
- E_form: -745 meV/atom

---

The following is a DFT calculation (GGA-PBE) of a relaxed structure of PaVB4.

Cell and atoms, written as CIF:
```
data_PaVB4
_chemical_formula_sum 'Pa4 V4 B16'
_cell_length_a 6.4346
_cell_length_b 6.4346
_cell_length_c 6.4346
_cell_angle_alpha 90.00
_cell_angle_beta 90.00
_cell_angle_gamma 90.00
_space_group_name_H-M_alt 'F -4 3 m'
_space_group_IT_number 216
_space_group_name_Hall 'F -4 2 3'
loop_
_atom_site_label
_atom_site_type_symbol
_atom_site_fract_x
_atom_site_fract_y
_atom_site_fract_z
Pa1 Pa 0.0000 0.0000 0.0000
V1 V 0.2500 0.2500 0.7500
B1 B 0.0975 0.0975 0.4025
```

- D(E_F): 21.289 states/eV per cell
- E above lowest polymorph: 1186.5 meV per atom
- E_form: 442 meV/atom

---

The following is a DFT calculation (GGA-PBE) of a relaxed structure of PaVB2.

Cell and atoms, written as CIF:
```
data_PaVB2
_chemical_formula_sum 'Pa3 V3 B6'
_cell_length_a 3.2278
_cell_length_b 3.2278
_cell_length_c 17.8074
_cell_angle_alpha 90.00
_cell_angle_beta 90.00
_cell_angle_gamma 120.00
_space_group_name_H-M_alt 'R -3 m'
_space_group_IT_number 166
_space_group_name_Hall '-R 3 2"'
loop_
_atom_site_label
_atom_site_type_symbol
_atom_site_fract_x
_atom_site_fract_y
_atom_site_fract_z
Pa1 Pa 0.0000 0.0000 0.0000
V1 V 0.0000 0.0000 0.5000
B1 B 0.0000 0.0000 0.2318
```

- D(E_F): 7.506 states/eV per cell
- E_form: -64 meV/atom

---

The following is a DFT calculation (GGA-PBE) of a relaxed structure of Pa2VB.

Cell and atoms, written as CIF:
```
data_Pa2VB
_chemical_formula_sum 'Pa6 V3 B3'
_cell_length_a 3.2918
_cell_length_b 3.2918
_cell_length_c 25.2288
_cell_angle_alpha 90.00
_cell_angle_beta 90.00
_cell_angle_gamma 120.00
_space_group_name_H-M_alt 'R -3 m'
_space_group_IT_number 166
_space_group_name_Hall '-R 3 2"'
loop_
_atom_site_label
_atom_site_type_symbol
_atom_site_fract_x
_atom_site_fract_y
_atom_site_fract_z
Pa1 Pa 0.0000 0.0000 0.1036
V1 V 0.0000 0.0000 0.0000
B1 B 0.0000 0.0000 0.5000
```

- D(E_F): 19.386 states/eV per cell
- E_form: 491 meV/atom

---

The following is a DFT calculation (GGA-PBE) of a relaxed structure of Pa3B7W.

Cell and atoms, written as CIF:
```
data_Pa3B7W
_chemical_formula_sum 'Pa12 B28 W4'
_cell_length_a 3.6153
_cell_length_b 15.9431
_cell_length_c 9.4005
_cell_angle_alpha 90.00
_cell_angle_beta 90.00
_cell_angle_gamma 90.00
_space_group_name_H-M_alt 'C m c m'
_space_group_IT_number 63
_space_group_name_Hall '-C 2c 2'
loop_
_atom_site_label
_atom_site_type_symbol
_atom_site_fract_x
_atom_site_fract_y
_atom_site_fract_z
Pa1 Pa 0.0000 0.1072 0.0599
Pa2 Pa 0.0000 0.2470 0.7500
B1 B 0.0000 0.2757 0.0355
B2 B 0.0000 0.3668 0.1525
B3 B 0.0000 0.4560 0.7500
B4 B 0.0000 0.4801 0.0923
W1 W 0.0000 0.0508 0.7500
```

- D(E_F): 34.844 states/eV per cell
- E_form: -490 meV/atom

---

The following is a DFT calculation (GGA-PBE) of a relaxed structure of Pa2BW.

Cell and atoms, written as CIF:
```
data_Pa2BW
_chemical_formula_sum 'Pa6 B3 W3'
_cell_length_a 3.1795
_cell_length_b 3.1795
_cell_length_c 26.7236
_cell_angle_alpha 90.00
_cell_angle_beta 90.00
_cell_angle_gamma 120.00
_space_group_name_H-M_alt 'R -3 m'
_space_group_IT_number 166
_space_group_name_Hall '-R 3 2"'
loop_
_atom_site_label
_atom_site_type_symbol
_atom_site_fract_x
_atom_site_fract_y
_atom_site_fract_z
Pa1 Pa 0.0000 0.0000 0.1044
B1 B 0.0000 0.0000 0.5000
W1 W 0.0000 0.0000 0.0000
```

- D(E_F): 19.403 states/eV per cell
- E_form: 672 meV/atom

---

The following is a DFT calculation (GGA-PBE) of a relaxed structure of Pa3B9W2.

Cell and atoms, written as CIF:
```
data_Pa3B9W2
_chemical_formula_sum 'Pa6 B18 W4'
_cell_length_a 3.1021
_cell_length_b 8.2431
_cell_length_c 13.4767
_cell_angle_alpha 90.00
_cell_angle_beta 90.00
_cell_angle_gamma 90.00
_space_group_name_H-M_alt 'I m m m'
_space_group_IT_number 71
_space_group_name_Hall '-I 2 2'
loop_
_atom_site_label
_atom_site_type_symbol
_atom_site_fract_x
_atom_site_fract_y
_atom_site_fract_z
Pa1 Pa 0.0000 0.0000 0.0000
Pa2 Pa 0.0000 0.0000 0.2665
B1 B 0.0000 0.2565 0.1295
B2 B 0.0000 0.3219 0.3588
B3 B 0.0000 0.5000 0.0000
W1 W 0.0000 0.1770 0.5000
```

- D(E_F): 17.821 states/eV per cell
- E_form: -288 meV/atom